(1)
Below is an optimized crystal structure of ScCrAs2, with properties calculated at the PBEsol level.

The structure belongs to space group P4mm (No. 99); the cell edges are 3.710, 3.710 and 5.273 Å and the angles 90.00°, 90.00° and 90.00°. The inequivalent atoms are Sc at (0.000, 0.000, 0.000), Cr at (0.500, 0.500, 0.499), As at (0.000, 0.000, 0.500) and As at (0.500, 0.500, 0.999).

(2)
Below is an optimized crystal structure of ScCrAs2, with properties calculated at the PBEsol level.

The structure belongs to space group I-4m2 (No. 119); the cell edges are 3.749, 3.749 and 9.630 Å and the angles 90.00°, 90.00° and 90.00°. The inequivalent atoms are Sc at (0.000, 0.000, 0.000), Cr at (0.000, 0.500, 0.750), As at (0.000, 0.000, 0.500) and As at (0.000, 0.500, 0.250).

| no. | calculated total energy (eV per atom) | distance to the lowest polymorph of the same formula (meV per atom) | energy of formation from the pure elements (eV/atom) |
| --- | --- | --- | --- |
| 1 | -7.35 | 112 | -0.583 |
| 2 | -7.19 | 275 | -0.421 |